Entry 1:
The following is a DFT calculation (GGA-PBE) of crystalline Cs3ZrAs at its relaxed geometry.

abc: 6.676 6.676 6.676
angles: 90.00 90.00 90.00
Last column: magnetic moment on the atom in μB.
Positions (direct):
Zr  0.000  0.000  0.000  2.11
As  0.500  0.500  0.500  0.48
Cs  0.000  0.000  0.500  0.11
Cs  0.500  0.000  0.000  0.06
Cs  0.000  0.500  0.000  0.09

---

Entry 2:
The following is a DFT calculation (GGA-PBE) of crystalline Zr2TaReGe at its relaxed geometry.

abc: 5.023 4.829 5.023
angles: 90.00 90.00 90.00
Last column: magnetic moment on the atom in μB.
Positions (direct):
Zr  0.500  0.000  0.000  -0.14
Zr  0.000  0.000  0.500  -0.09
Re  0.500  0.500  0.500  2.21
Ge  0.000  0.500  0.000  -0.01
Ta  0.000  0.000  0.000  0.08

---

Entry 3:
The following is a DFT calculation (GGA-PBE) of crystalline Nd2Th2Hg at its relaxed geometry.

abc: 3.666 3.666 11.816
angles: 98.92 98.92 90.00
Positions (direct):
Nd  0.410  0.410  0.821
Hg  0.000  0.000  0.000
Th  0.801  0.801  0.603
Nd  0.590  0.590  0.179
Th  0.199  0.199  0.397

---

| no. | energy relative to the elements (eV/atom) | DOS at the Fermi energy (states/eV per atom) |
| --- | --- | --- |
| 1 | 1.1566 | 1.522 |
| 2 | 1.5169 | 1.064 |
| 3 | -0.1886 | 1.335 |